A relaxed structure of Na2ErSO6. Source: Alexandria via LeMat-Bulk, functional GGA-PBE.

Lattice parameters (Å, degrees): 5.7492 5.7492 5.5521 90.00 90.00 120.00
Last column: nearest neighbours and their distance in Å.
Space group P-3m1 (No. 164)
One atom of each set of equivalent atoms:
Na (0.3333, 0.6667, 0.4567) [2 per cell]  3 O 2.31
Er (0.0000, 0.0000, 0.0000) [1 per cell]  6 O 2.25
S (0.0000, 0.0000, 0.5000) [1 per cell]  6 O 1.69
O (0.1375, 0.2750, 0.6784) [6 per cell]  1 S 1.69

Values from the calculation:
Total magnetization   1.04 μB per formula unit
DOS(E_F)   0.101 states/eV per atom
Formation energy from raw total energies   -1.60 eV/atom
Density   3.57 g cm⁻³